A geometry-optimized Ho3Al7Cu4 structure, computed with GGA-PBE.

a b c (Å): 8.012 8.012 9.472
angles (deg): 124.96 124.96 30.17
Sites, in units of the cell vectors:
Ho 0.000 0.000 0.000
Ho 0.309 0.309 0.306
Ho 0.691 0.691 0.694
Al 0.000 0.000 0.500
Al 0.156 0.156 0.421
Al 0.324 0.324 0.974
Al 0.495 0.495 0.708
Al 0.505 0.505 0.292
Al 0.676 0.676 0.026
Al 0.844 0.844 0.579
Cu 0.123 0.123 0.843
Cu 0.341 0.341 0.725
Cu 0.659 0.659 0.275
Cu 0.877 0.877 0.157

Properties
magnetization: 0.0 μB per formula unit
E_form: -0.449 eV/atom